Entry 1:
Si3BiSb PBE-GGA relaxed; volume = 140 Å³/cell; raw formation energy = 1148.0 meV per atom
1.0
5.191 0.000 0.000
0.000 5.191 0.000
0.000 0.000 5.191
Si Bi Sb
3 1 1
direct
0.000 0.000 0.500 Si
0.000 0.500 0.000 Si
0.500 0.000 0.000 Si
0.500 0.500 0.500 Bi
0.000 0.000 0.000 Sb

=====

Entry 2:
Tl2In2Sn2Pb PBE-GGA relaxed; volume = 212 Å³/cell; ΔH_f (0 K) = 0.06 eV/atom
1.0
2.635 1.521 8.823
-2.635 1.521 8.823
0.000 -3.043 8.823
Tl In Sn Pb
2 2 2 1
direct
0.139 0.139 0.139 Tl
0.861 0.861 0.861 Tl
0.421 0.421 0.421 In
0.579 0.579 0.579 In
0.283 0.283 0.283 Sn
0.717 0.717 0.717 Sn
0.000 0.000 0.000 Pb

=====

Entry 3:
LaZnHg2 PBE-GGA relaxed; volume = 225 Å³/cell; ΔH_f (0 K) = -0.14 eV/atom
1.0
-2.382 2.382 9.922
2.382 -2.382 9.922
2.382 2.382 -9.922
La Zn Hg
2 2 4
direct
0.000 0.000 0.000 La
0.750 0.250 0.500 La
0.250 0.750 0.500 Zn
0.500 0.500 0.000 Zn
0.194 0.625 0.069 Hg
0.375 0.444 0.569 Hg
0.556 0.125 0.931 Hg
0.875 0.806 0.431 Hg

=====

Entry 4:
BeTl2Cr PBE-GGA relaxed; volume = 80 Å³/cell; ΔH_f (0 K) = 0.75 eV/atom
1.0
0.000 3.420 3.420
3.420 0.000 3.420
3.420 3.420 0.000
Be Tl Cr
1 2 1
direct
0.000 0.000 0.000 Be
0.250 0.250 0.250 Tl
0.750 0.750 0.750 Tl
0.500 0.500 0.500 Cr

=====

Entry 5:
AgRh2Se PBE-GGA relaxed; volume = 64 Å³/cell; raw formation energy = 342.1 meV per atom
1.0
0.000 3.182 3.182
3.182 0.000 3.182
3.182 3.182 0.000
Ag Rh Se
1 2 1
direct
0.000 0.000 0.000 Ag
0.500 0.500 0.500 Rh
0.750 0.750 0.750 Rh
0.250 0.250 0.250 Se